Compound: Hf3CoOs
Source: Alexandria via LeMat-Bulk
Functional: meta-GGA SCAN
Structure: PBEsol geometry

Properties
- crystal system = cubic
- E (Ry per atom) = -4.04397

```
Hf3CoOs
1.0
4.584 0.000 0.000
0.000 4.584 0.000
0.000 0.000 4.584
Hf Os Co
3 1 1
Cartesian
0.000 2.292 0.000
0.000 0.000 2.292
2.292 0.000 0.000
2.292 2.292 2.292
0.000 0.000 0.000
```


Compound: Cs4TlSbCl12
Source: Alexandria via LeMat-Bulk
Functional: meta-GGA SCAN
Structure: PBEsol geometry

Properties
- raw formation energy (eV/atom) = -1.5005
- crystal system = tetragonal

```
Cs4TlSbCl12
1.0
7.317 0.000 0.000
0.000 7.317 0.000
0.000 0.000 10.397
Cs Tl Sb Cl
4 1 1 12
Cartesian
3.658 0.000 8.052
0.000 3.658 2.345
3.658 0.000 2.345
0.000 3.658 8.052
0.000 0.000 0.000
3.658 3.658 5.198
0.000 0.000 7.793
3.658 3.658 2.800
5.353 5.353 5.198
1.837 1.837 0.000
5.353 1.964 5.198
1.837 5.480 0.000
0.000 0.000 2.604
3.658 3.658 7.597
1.964 1.964 5.198
5.480 5.480 0.000
1.964 5.353 5.198
5.480 1.837 0.000
```


Compound: Ti3CoRh
Source: Alexandria via LeMat-Bulk
Functional: meta-GGA SCAN
Structure: PBEsol geometry

Properties
- crystal system = cubic
- E (Ry per atom) = -1.44248

```
Ti3CoRh
1.0
-2.182 3.527 1.293
-3.736 -1.881 -1.173
-0.393 -1.702 3.978
Co Rh Ti
1 1 3
Cartesian
0.000 0.000 0.000
-3.155 -0.028 2.049
-1.868 -0.940 -0.587
-0.196 -0.851 1.989
-1.091 1.763 0.647
```


Compound: LiMnCo2
Source: Alexandria via LeMat-Bulk
Functional: meta-GGA SCAN
Structure: PBEsol geometry

Properties
- crystal system = tetragonal
- offset from the most stable computed form (eV/atom) = 0.166

```
LiMnCo2
1.0
-1.799 -1.466 0.549
1.563 -1.732 0.497
0.299 2.364 7.296
Co Li Mn
2 1 1
Cartesian
0.000 0.003 0.011
-0.050 -1.059 2.189
0.148 1.168 3.604
0.114 0.236 6.186
```


Compound: K2TaSe
Source: Alexandria via LeMat-Bulk
Functional: meta-GGA SCAN
Structure: PBEsol geometry

Properties
- raw formation energy (eV/atom) = 0.7954
- crystal system = tetragonal

```
K2TaSe
1.0
-3.544 1.723 -0.645
-1.175 -1.042 3.671
4.415 4.665 0.566
K Se Ta
2 1 1
Cartesian
-0.744 3.364 0.717
0.440 1.982 2.875
-2.359 0.341 1.513
0.000 0.000 0.000
```


Compound: Zn2ReAgW
Source: Alexandria via LeMat-Bulk
Functional: meta-GGA SCAN
Structure: PBEsol geometry

Properties
- crystal system = tetragonal
- E (Ry per atom) = -2.82621

```
Zn2ReAgW
1.0
4.637 0.000 0.000
0.000 4.764 0.000
0.000 0.000 4.764
Re Zn Ag W
1 2 1 1
Cartesian
0.000 0.000 0.000
0.000 0.000 2.382
0.000 2.382 0.000
2.319 2.382 2.382
2.319 0.000 0.000
```


Compound: Ba3TiMn
Source: Alexandria via LeMat-Bulk
Functional: meta-GGA SCAN
Structure: PBEsol geometry

Properties
- crystal system = cubic
- E (Ry per atom) = -2.18836

```
Ba3TiMn
1.0
-5.263 -2.484 1.095
1.491 -4.641 -3.362
2.268 -2.712 4.750
Mn Ba Ti
1 3 1
Cartesian
0.000 0.000 0.000
0.746 -2.321 -1.681
1.134 -1.356 2.375
-2.631 -1.242 0.547
-0.752 -4.918 1.242
```


Compound: CaLa2Zn
Source: Alexandria via LeMat-Bulk
Functional: meta-GGA SCAN
Structure: PBEsol geometry

Properties
- crystal system = cubic
- E (Ry per atom) = -2.00450

```
CaLa2Zn
1.0
-4.890 -1.871 -1.449
-0.650 -2.478 -4.791
-0.914 -5.352 -0.188
Zn Ca La
1 1 2
Cartesian
-1.613 -2.425 -1.607
-3.227 -4.851 -3.214
0.000 0.000 0.000
-4.840 -7.276 -4.821
```


Compound: Li4CoO2F2
Source: Alexandria via LeMat-Bulk
Functional: meta-GGA SCAN
Structure: PBEsol geometry

Properties
- raw formation energy (eV/atom) = -2.2460
- crystal system = monoclinic

```
Li4CoO2F2
1.0
-2.830 1.523 2.090
-4.209 0.528 -2.568
-3.265 -3.772 1.842
F Co O Li
2 1 2 4
Cartesian
-6.220 -1.425 -0.354
-4.084 -0.296 1.717
0.000 0.000 0.000
-6.763 -1.504 2.484
-3.541 -0.217 -1.121
-7.411 -0.387 0.793
-2.893 -1.334 0.570
-5.614 -2.366 1.153
-4.690 0.645 0.211
```


Compound: Ho2ZnOs
Source: Alexandria via LeMat-Bulk
Functional: meta-GGA SCAN
Structure: PBEsol geometry

Properties
- crystal system = cubic
- E (Ry per atom) = -3.40233

```
Ho2ZnOs
1.0
-3.905 -2.723 0.643
-0.706 -3.875 -2.750
0.422 -4.396 1.890
Zn Os Ho
1 1 2
Cartesian
0.000 0.000 0.000
-2.094 -5.497 -0.108
-1.047 -2.748 -0.054
-3.141 -8.245 -0.163
```


Compound: Ru2SeO
Source: Alexandria via LeMat-Bulk
Functional: meta-GGA SCAN
Structure: PBEsol geometry

Properties
- raw formation energy (eV/atom) = 0.2416
- crystal system = cubic

```
Ru2SeO
1.0
4.082 0.000 0.000
2.041 3.535 0.000
2.041 1.178 3.333
Ru O Se
2 1 1
Cartesian
2.041 1.178 0.833
6.123 3.535 2.500
0.000 0.000 0.000
4.082 2.357 1.667
```


Compound: RbFe3C
Source: Alexandria via LeMat-Bulk
Functional: meta-GGA SCAN
Structure: PBEsol geometry

Properties
- crystal system = cubic
- E (Ry per atom) = -1.16573

```
RbFe3C
1.0
-2.507 2.960 0.971
-2.842 -1.663 -2.268
-1.275 -2.112 3.147
C Fe Rb
1 3 1
Cartesian
0.000 0.000 0.000
-1.421 -0.832 -1.134
-0.638 -1.056 1.573
-1.253 1.480 0.485
-3.312 -0.408 0.925
```